A plane-wave DFT calculation with PBE-GGA was carried out for a relaxed structure of CeTlRuRh.

Cell lengths 4.774, 4.774, 4.774 Å; angles 60.00, 60.00, 60.00 degrees
Atoms (fractional coordinates):
1 Ce 0.000 0.000 0.000
2 Tl 0.500 0.500 0.500
3 Rh 0.250 0.250 0.250
4 Ru 0.750 0.750 0.750

Summary:
Formation energy from the elements: -0.2813 eV per atom
DFT total energy: -6.51 eV/atom